# 1
# PuPaNbMo, optimized geometry, DFT PBE
# Total magnetization, μB per cell: 21.0
# E, Ha/atom: -0.4059
data_PuPaNbMo
_cell_length_a 6.835
_cell_length_b 6.835
_cell_length_c 6.835
_cell_angle_alpha 90.00
_cell_angle_beta 90.00
_cell_angle_gamma 90.00
_space_group_name_H-M_alt 'F -4 3 m'
_space_group_IT_number 216
_space_group_name_Hall 'F -4 2 3'
loop_
_atom_site_label
_atom_site_fract_x
_atom_site_fract_y
_atom_site_fract_z
_atom_site_occupancy
Pu1 0.000 0.000 0.000 1
Pa1 0.250 0.250 0.750 1
Nb1 0.250 0.250 0.250 1
Mo1 0.000 0.000 0.500 1

---

# 2
# ScPaNbMo, optimized geometry, DFT PBE
# Total magnetization, μB per cell: 0.0
# E, Ha/atom: -0.3357
data_ScPaNbMo
_cell_length_a 6.812
_cell_length_b 6.812
_cell_length_c 6.812
_cell_angle_alpha 90.00
_cell_angle_beta 90.00
_cell_angle_gamma 90.00
_space_group_name_H-M_alt 'F -4 3 m'
_space_group_IT_number 216
_space_group_name_Hall 'F -4 2 3'
loop_
_atom_site_label
_atom_site_fract_x
_atom_site_fract_y
_atom_site_fract_z
_atom_site_occupancy
Sc1 0.000 0.000 0.000 1
Pa1 0.000 0.000 0.500 1
Nb1 0.250 0.250 0.250 1
Mo1 0.250 0.250 0.750 1

---

What is the E in the first record? -0.4059 Ha/atom

---

What is the formula in the first record? PuPaNbMo